The following is a PBE calculation of a relaxed structure of Mn3AlS6, from the Alexandria database.

Results
- E_tot: -6.219 eV/atom
- ΔE_f (raw): -617 meV per atom
- Total magnetization: 11.9 μB per formula unit

a = 6.1099 Å, b = 6.1099 Å, c = 6.5298 Å
α = 62.11°, β = 62.11°, γ = 60.00°
Closest atoms and distances in Å follow each position.
Sites, in units of the cell vectors:
S (0.0654, 0.7504, 0.7432)  1 Al 2.39, 3 Mn 2.42-2.52
S (0.4410, 0.0654, 0.7432)  1 Al 2.39, 3 Mn 2.42-2.52
S (0.5623, 0.9443, 0.2513)  3 Mn 2.40-2.46, 1 Al 2.47
Al (0.1533, 0.1533, 0.5400)  6 S 2.39-2.47
Mn (0.3449, 0.3449, 0.9652)  6 S 2.42-2.46
S (0.2422, 0.5623, 0.2513)  3 Mn 2.40-2.46, 1 Al 2.47
S (0.7504, 0.4410, 0.7432)  1 Al 2.39, 3 Mn 2.43-2.52
Mn (0.8436, 0.8436, 0.4691)  6 S 2.40-2.43
S (0.9443, 0.2422, 0.2513)  3 Mn 2.40-2.46, 1 Al 2.47
Mn (0.6526, 0.6526, 0.0423)  6 S 2.44-2.52